First-principles (PBE-GGA) data for AlSi2Ag after structural relaxation, as listed in the Alexandria database.

Energy relative to the elements, uncorrected: 387 meV/atom
Calculated density: 4.529 g cm⁻³
Total moment: 0.0 μB per formula unit

a = 7.231 Å, b = 7.231 Å, c = 5.358 Å
α = 90.00°, β = 90.00°, γ = 90.00°
Space group I-42d (No. 122)
Asymmetric unit:
Al (0.000, 0.000, 0.000)
Si (0.249, 0.750, 0.125)
Ag (0.000, 0.000, 0.500)



First-principles (PBE-GGA) data for AlSiAg2 after structural relaxation, as listed in the Alexandria database.

Energy relative to the elements, uncorrected: 183 meV/atom
Calculated density: 6.620 g cm⁻³
Total moment: 0.0 μB per formula unit

a = 5.680 Å, b = 8.422 Å, c = 2.840 Å
α = 90.00°, β = 90.00°, γ = 90.00°
Space group Cmmm (No. 65)
Asymmetric unit:
Al (0.000, 0.000, 0.000)
Si (0.000, 0.500, 0.000)
Ag (0.250, 0.250, 0.500)



First-principles (PBE-GGA) data for AlSi2Ag after structural relaxation, as listed in the Alexandria database.

Energy relative to the elements, uncorrected: 319 meV/atom
Calculated density: 4.889 g cm⁻³
Total moment: 0.0 μB per formula unit

a = 2.860 Å, b = 2.860 Å, c = 7.934 Å
α = 90.00°, β = 90.00°, γ = 90.00°
Space group P4/mmm (No. 123)
Asymmetric unit:
Al (0.000, 0.000, 0.000)
Si (0.500, 0.500, 0.237)
Ag (0.000, 0.000, 0.500)



First-principles (PBE-GGA) data for AlSiAg after structural relaxation, as listed in the Alexandria database.

Energy relative to the elements, uncorrected: 159 meV/atom
Calculated density: 5.110 g cm⁻³
Total moment: 0.0 μB per formula unit

a = 6.755 Å, b = 7.880 Å, c = 4.188 Å
α = 90.00°, β = 108.19°, γ = 90.00°
Space group C2 (No. 5)
Asymmetric unit:
Al (0.179, 0.000, 0.253)
Si (0.169, 0.802, 0.742)
Ag (0.000, 0.264, 0.500)
Ag (0.000, 0.538, 0.000)



First-principles (PBE-GGA) data for AlSiAg after structural relaxation, as listed in the Alexandria database.

Energy relative to the elements, uncorrected: 167 meV/atom
Calculated density: 5.126 g cm⁻³
Total moment: 0.0 μB per formula unit

a = 6.718 Å, b = 4.025 Å, c = 7.808 Å
α = 90.00°, β = 90.00°, γ = 90.00°
Space group Pnma (No. 62)
Asymmetric unit:
Al (0.148, 0.250, 0.060)
Si (0.222, 0.750, 0.864)
Ag (0.040, 0.250, 0.635)



First-principles (PBE-GGA) data for Al2SiAg after structural relaxation, as listed in the Alexandria database.

Energy relative to the elements, uncorrected: 119 meV/atom
Calculated density: 4.832 g cm⁻³
Total moment: 0.0 μB per formula unit

a = 5.745 Å, b = 7.858 Å, c = 2.891 Å
α = 90.00°, β = 90.00°, γ = 90.00°
Space group Cmmm (No. 65)
Asymmetric unit:
Al (0.250, 0.250, 0.000)
Si (0.000, 0.000, 0.500)
Ag (0.000, 0.500, 0.500)



> Number 3 is which compound?

AlSi2Ag